No. 1
Na2NdAlTe4 | Alexandria via LeMat-Bulk | PBE-GGA | relaxed; formation energy (no corrections) = -902.1 meV per atom
1.0
-4.271 4.587 6.322
4.271 -4.587 6.322
4.271 4.587 -6.322
Na Nd Al Te
4 2 2 8
Direct
0.000 0.000 0.000 Na
0.500 0.000 0.000 Na
0.500 0.000 0.500 Na
0.500 0.500 0.500 Na
0.000 0.500 0.500 Nd
0.500 0.500 0.000 Nd
0.000 0.000 0.500 Al
0.000 0.500 0.000 Al
0.208 0.249 0.960 Te
0.211 0.751 0.460 Te
0.238 0.236 0.498 Te
0.238 0.740 0.002 Te
0.762 0.260 0.998 Te
0.762 0.764 0.502 Te
0.789 0.249 0.540 Te
0.792 0.751 0.040 Te

***

No. 2
LaTbN2 | Alexandria via LeMat-Bulk | PBE-GGA | relaxed; formation energy (no corrections) = -1149.3 meV per atom
1.0
3.542 0.000 0.000
-1.771 3.068 0.000
0.000 0.000 6.246
La Tb N
1 1 2
Direct
0.000 0.000 0.000 La
0.000 0.000 0.500 Tb
0.333 0.667 0.737 N
0.667 0.333 0.263 N

***

No. 3
Pm2ReSi4 | Alexandria via LeMat-Bulk | PBE-GGA | relaxed; formation energy (no corrections) = -350.4 meV per atom
1.0
-2.886 2.886 4.496
2.886 -2.886 4.496
2.886 2.886 -4.496
Pm Re Si
2 1 4
Direct
0.000 0.500 0.500 Pm
0.500 0.000 0.500 Pm
0.251 0.251 0.000 Re
0.544 0.544 0.587 Si
0.544 0.957 0.000 Si
0.957 0.544 0.000 Si
0.957 0.957 0.413 Si

***

No. 4
V2BS | Alexandria via LeMat-Bulk | PBE-GGA | relaxed; formation energy (no corrections) = 75.1 meV per atom; energy relative to the lowest polymorph listed for this composition = 0.1248 eV per atom
1.0
-2.464 2.464 4.995
2.464 -2.464 4.995
2.464 2.464 -4.995
V B S
4 2 2
Direct
0.077 0.625 0.952 V
0.375 0.327 0.452 V
0.673 0.125 0.048 V
0.875 0.923 0.548 V
0.000 0.000 0.000 B
0.750 0.250 0.500 B
0.250 0.750 0.500 S
0.500 0.500 0.000 S

***

No. 5
CaPrSi | Alexandria via LeMat-Bulk | PBE-GGA | relaxed; formation energy (no corrections) = -412.4 meV per atom
1.0
0.000 3.574 3.574
3.574 0.000 3.574
3.574 3.574 0.000
Ca Pr Si
1 1 1
Direct
0.000 0.000 0.000 Ca
0.500 0.500 0.500 Pr
0.250 0.250 0.250 Si

***

No. 6
Ca3Cr | Alexandria via LeMat-Bulk | PBE-GGA | relaxed; E_form = 1.9 eV per formula unit
1.0
1.890 1.091 11.288
-1.890 1.091 11.288
0.000 -2.183 11.288
Ca Cr
3 1
Direct
0.000 0.000 0.000 Ca
0.236 0.236 0.236 Ca
0.764 0.764 0.764 Ca
0.500 0.500 0.500 Cr

***

No. 7
CsMgTe3 | Alexandria via LeMat-Bulk | PBE-GGA | relaxed; formation energy (no corrections) = 908.5 meV per atom; energy relative to the lowest polymorph listed for this composition = 1.2988 eV per atom
1.0
6.405 0.000 0.000
0.000 6.405 0.000
0.000 0.000 6.405
Cs Mg Te
1 1 3
Direct
0.000 0.000 0.000 Cs
0.500 0.500 0.500 Mg
0.000 0.000 0.500 Te
0.000 0.500 0.000 Te
0.500 0.000 0.000 Te

***

No. 8
Ba3Y2O6 | Alexandria via LeMat-Bulk | PBE-GGA | relaxed; formation energy (no corrections) = -2938.2 meV per atom; energy relative to the lowest polymorph listed for this composition = 0.0000 eV per atom
1.0
-2.209 2.209 10.893
2.209 -2.209 10.893
2.209 2.209 -10.893
Ba Y O
3 2 6
Direct
0.000 0.000 0.000 Ba
0.183 0.183 0.000 Ba
0.817 0.817 0.000 Ba
0.399 0.399 0.000 Y
0.601 0.601 0.000 Y
0.083 0.583 0.500 O
0.300 0.300 0.000 O
0.417 0.917 0.500 O
0.583 0.083 0.500 O
0.700 0.700 0.000 O
0.917 0.417 0.500 O

***

Number 1: uncorrected energy -3.87 eV per atom. Number 2: uncorrected energy -7.70 eV per atom. Number 3: uncorrected energy -6.58 eV per atom. Number 4: uncorrected energy -7.19 eV per atom. Number 5: uncorrected energy -4.48 eV per atom. Number 6: uncorrected energy -3.44 eV per atom. Number 7: uncorrected energy -1.47 eV per atom. Number 8: uncorrected energy -7.34 eV per atom.